<1>
Tc3Rh: PBEsol geometry, SCAN.

Computed properties:
- Symmetry: P-6m2 (187)

Structure (POSCAR):
```
Tc3Rh
1.0
2.712 0.000 0.000
-1.356 2.349 0.000
0.000 0.000 8.655
Tc Rh
3 1
direct
0.000 0.000 0.000 Tc
0.667 0.333 0.250 Tc
0.667 0.333 0.750 Tc
0.000 0.000 0.500 Rh
```

=====

<2>
Tc3Rh: PBEsol geometry, SCAN.

Computed properties:
- Symmetry: Imm2 (44)

Structure (POSCAR):
```
Tc3Rh
1.0
-1.348 4.311 2.364
1.348 -4.311 2.364
1.348 4.311 -2.364
Tc Rh
3 1
direct
0.000 0.000 0.000 Tc
0.079 0.330 0.749 Tc
0.581 0.330 0.251 Tc
0.497 0.997 0.500 Rh
```

=====

On energetic grounds, <2> is preferred over the next structure by 26 meV per atom.

=====

<1>
Tc3Rh: PBEsol geometry, SCAN.

Computed properties:
- Symmetry: Pmm2 (25)

Structure (POSCAR):
```
Tc3Rh
1.0
2.702 0.000 0.000
0.000 4.312 0.000
0.000 0.000 4.714
Tc Rh
3 1
direct
0.000 0.000 0.000 Tc
0.000 0.500 0.329 Tc
0.500 0.500 0.830 Tc
0.500 0.000 0.493 Rh
```

=====

<2>
Tc3Rh: PBEsol geometry, SCAN.

Computed properties:
- Symmetry: Pmmn (59)

Structure (POSCAR):
```
Tc3Rh
1.0
5.427 0.000 0.000
0.000 13.055 0.000
0.000 0.000 4.669
Tc Rh
18 6
direct
0.002 0.250 0.005 Tc
0.003 0.586 0.333 Tc
0.003 0.914 0.333 Tc
0.250 0.086 0.165 Tc
0.250 0.414 0.165 Tc
0.250 0.750 0.490 Tc
0.497 0.586 0.333 Tc
0.497 0.914 0.333 Tc
0.498 0.250 0.005 Tc
0.502 0.750 0.995 Tc
0.503 0.086 0.667 Tc
0.503 0.414 0.667 Tc
0.750 0.250 0.510 Tc
0.750 0.586 0.835 Tc
0.750 0.914 0.835 Tc
0.997 0.086 0.667 Tc
0.997 0.414 0.667 Tc
0.998 0.750 0.995 Tc
0.250 0.250 0.507 Rh
0.250 0.584 0.835 Rh
0.250 0.916 0.835 Rh
0.750 0.084 0.165 Rh
0.750 0.416 0.165 Rh
0.750 0.750 0.493 Rh
```

=====

On energetic grounds, <1> is preferred over the next structure by 28 meV per atom.

=====

<1>
Tc3Rh: PBEsol geometry, SCAN.

Computed properties:
- Symmetry: P6_3/mmc (194)

Structure (POSCAR):
```
Tc3Rh
1.0
5.420 0.000 0.000
-2.710 4.694 0.000
0.000 0.000 8.655
Tc Rh
12 4
direct
0.000 0.500 0.000 Tc
0.000 0.500 0.500 Tc
0.170 0.341 0.250 Tc
0.170 0.830 0.250 Tc
0.341 0.170 0.750 Tc
0.500 0.000 0.000 Tc
0.500 0.000 0.500 Tc
0.500 0.500 0.000 Tc
0.500 0.500 0.500 Tc
0.659 0.830 0.250 Tc
0.830 0.170 0.750 Tc
0.830 0.659 0.750 Tc
0.000 0.000 0.000 Rh
0.000 0.000 0.500 Rh
0.333 0.667 0.750 Rh
0.667 0.333 0.250 Rh
```

=====

<2>
Tc3Rh: PBEsol geometry, SCAN.

Computed properties:
- Symmetry: C2/m (12)

Structure (POSCAR):
```
Tc3Rh
1.0
4.475 -1.342 0.000
4.475 1.342 0.000
-0.805 0.000 4.604
Tc Rh
3 1
direct
0.000 0.000 0.000 Tc
0.250 0.250 0.753 Tc
0.750 0.750 0.247 Tc
0.500 0.500 0.500 Rh
```

=====

On energetic grounds, <1> is preferred over the next structure by 112 meV per atom.